Sr2CaRe | GGA-PBE | relaxed

## Properties
The calculation puts the total magnetic moment at 0.00 μB/f.u. For the formation enthalpy at 0 K, the calculation gives 1.052 eV/atom. The offset from the most stable computed form is 28.6 kJ per mole of atoms.

Unit cell a=6.8882 b=10.2589 c=3.4273 alpha=90.00 beta=90.00 gamma=90.00
With the nearest neighbours (Å) after each atom.
Space group Cmmm (No. 65)
Asymmetric unit:
1 Sr 0.2500 0.2500 0.0000 (multiplicity 4)  4 Sr 3.43-3.44, 4 Re 3.53, 4 Ca 3.53
2 Ca 0.0000 0.0000 0.5000 (multiplicity 2)  2 Ca 3.43, 2 Re 3.44, 8 Sr 3.53
3 Re 0.0000 0.5000 0.5000 (multiplicity 2)  2 Re 3.43, 2 Ca 3.44, 8 Sr 3.53